# ZnIn2Se3S PBE-GGA optimized geometry
# Total DFT energy (no corrections), eV/cell: -25.57
# Theoretical density, g/cm3: 4.88
data_ZnIn2Se3S
_chemical_formula_sum 'Zn1 In2 Se3 S1'
_cell_length_a 5.728
_cell_length_b 5.752
_cell_length_c 7.070
_cell_angle_alpha 66.22
_cell_angle_beta 66.17
_cell_angle_gamma 89.26
_symmetry_space_group_name_H-M 'P 1'
_symmetry_Int_Tables_number 1
loop_
_symmetry_equiv_pos_as_xyz
'x,y,z'
loop_
_atom_site_label
_atom_site_fract_x
_atom_site_fract_y
_atom_site_fract_z
In1 0.506 0.498 0.997
In2 0.755 0.254 0.503
S1 0.896 0.376 0.750
Se1 0.136 0.085 0.261
Se2 0.607 0.656 0.261
Se3 0.353 0.873 0.733
Zn1 0.998 0.008 0.995